Compound: GdHoMgCo
Source: Alexandria
Functional: PBE
Structure: relaxed

The formation energy is -0.007 eV per atom.

It has space group F-43m (No. 216), with a = 7.119 Å, b = 7.119 Å, c = 7.119 Å, α = 90.00°, β = 90.00° and γ = 90.00°. The distinct sites, in fractional coordinates, are Gd at (0.000, 0.000, 0.000), Ho at (0.000, 0.000, 0.500), Mg at (0.250, 0.250, 0.750) and Co at (0.250, 0.250, 0.250).



Compound: GdHoCoNi
Source: Alexandria
Functional: PBE
Structure: relaxed

The formation energy is -0.247 eV per atom.

It has space group F-43m (No. 216), with a = 6.727 Å, b = 6.727 Å, c = 6.727 Å, α = 90.00°, β = 90.00° and γ = 90.00°. The distinct sites, in fractional coordinates, are Gd at (0.000, 0.000, 0.000), Ho at (0.000, 0.000, 0.500), Co at (0.250, 0.250, 0.750) and Ni at (0.250, 0.250, 0.250).



Compound: GdHoCoOs
Source: Alexandria
Functional: PBE
Structure: relaxed

The formation energy is -0.100 eV per atom.

It has space group F-43m (No. 216), with a = 6.788 Å, b = 6.788 Å, c = 6.788 Å, α = 90.00°, β = 90.00° and γ = 90.00°. The distinct sites, in fractional coordinates, are Gd at (0.000, 0.000, 0.000), Ho at (0.000, 0.000, 0.500), Co at (0.250, 0.250, 0.750) and Os at (0.250, 0.250, 0.250).



Compound: GdHoCoPd
Source: Alexandria
Functional: PBE
Structure: relaxed

The formation energy is -0.473 eV per atom.

It has space group F-43m (No. 216), with a = 6.880 Å, b = 6.880 Å, c = 6.880 Å, α = 90.00°, β = 90.00° and γ = 90.00°. The distinct sites, in fractional coordinates, are Gd at (0.000, 0.000, 0.000), Ho at (0.000, 0.000, 0.500), Co at (0.250, 0.250, 0.250) and Pd at (0.250, 0.250, 0.750).



Compound: GdHoCoPt
Source: Alexandria
Functional: PBE
Structure: relaxed

The formation energy is -0.647 eV per atom.

It has space group F-43m (No. 216), with a = 6.874 Å, b = 6.874 Å, c = 6.874 Å, α = 90.00°, β = 90.00° and γ = 90.00°. The distinct sites, in fractional coordinates, are Gd at (0.000, 0.000, 0.000), Ho at (0.000, 0.000, 0.500), Co at (0.250, 0.250, 0.250) and Pt at (0.250, 0.250, 0.750).



Compound: GdHoCoRh
Source: Alexandria
Functional: PBE
Structure: relaxed

The formation energy is -0.478 eV per atom.

It has space group F-43m (No. 216), with a = 6.798 Å, b = 6.798 Å, c = 6.798 Å, α = 90.00°, β = 90.00° and γ = 90.00°. The distinct sites, in fractional coordinates, are Gd at (0.000, 0.000, 0.000), Ho at (0.000, 0.000, 0.500), Co at (0.250, 0.250, 0.250) and Rh at (0.250, 0.250, 0.750).



Compound: GdHoZnCo
Source: Alexandria
Functional: PBE
Structure: relaxed

The formation energy is -0.219 eV per atom.

It has space group F-43m (No. 216), with a = 6.916 Å, b = 6.916 Å, c = 6.916 Å, α = 90.00°, β = 90.00° and γ = 90.00°. The distinct sites, in fractional coordinates, are Gd at (0.000, 0.000, 0.000), Ho at (0.000, 0.000, 0.500), Zn at (0.250, 0.250, 0.750) and Co at (0.250, 0.250, 0.250).



Compound: GdCoI2
Source: Alexandria
Functional: PBE
Structure: relaxed

The calculation puts the formation energy (no corrections) at 0.0 eV per formula unit.

It has space group R-3m (No. 166, hexagonal axes), with a = 3.9855 Å, b = 3.9855 Å, c = 27.3802 Å, α = 90.00°, β = 90.00° and γ = 120.00°. The distinct sites, in fractional coordinates, are Gd at (0.0000, 0.0000, 0.0000), Co at (0.0000, 0.0000, 0.5000) and I at (0.0000, 0.0000, 0.1122).



Compound: Gd2Co2I
Source: Alexandria
Functional: PBE
Structure: relaxed

The calculation puts the formation energy (no corrections) at -3.0 eV per formula unit.

It has space group P6_3/mmc (No. 194), with a = 3.9637 Å, b = 3.9637 Å, c = 17.1818 Å, α = 90.00°, β = 90.00° and γ = 120.00°. The distinct sites, in fractional coordinates, are Gd at (0.0000, 0.0000, 0.1039), Co at (0.3333, 0.6667, 0.0009) and I at (0.3333, 0.6667, 0.7500).



Compound: Gd2InCo
Source: Alexandria
Functional: PBE
Structure: relaxed

The formation energy is 0.003 eV per atom.

It has space group R-3m (No. 166, hexagonal axes), with a = 3.7586 Å, b = 3.7586 Å, c = 29.0346 Å, α = 90.00°, β = 90.00° and γ = 120.00°. The distinct sites, in fractional coordinates, are Gd at (0.0000, 0.0000, 0.1144), In at (0.0000, 0.0000, 0.0000) and Co at (0.0000, 0.0000, 0.5000).



Compound: GdInCo4
Source: Alexandria
Functional: PBE
Structure: relaxed

The formation energy is -0.125 eV per atom.

It has space group F-43m (No. 216), with a = 7.083 Å, b = 7.083 Å, c = 7.083 Å, α = 90.00°, β = 90.00° and γ = 90.00°. The distinct sites, in fractional coordinates, are Gd at (0.000, 0.000, 0.000), In at (0.250, 0.250, 0.750) and Co at (0.124, 0.124, 0.376).



Compound: Gd2InCo
Source: Alexandria
Functional: PBE
Structure: relaxed

The formation energy is -0.301 eV per atom.

It has space group P4/mmm (No. 123), with a = 3.398 Å, b = 3.398 Å, c = 8.085 Å, α = 90.00°, β = 90.00° and γ = 90.00°. The distinct sites, in fractional coordinates, are Gd at (0.000, 0.000, 0.207), In at (0.500, 0.500, 0.500) and Co at (0.500, 0.500, 0.000).



Compound: Gd2InCo
Source: Alexandria
Functional: PBE
Structure: relaxed

The formation energy is -0.154 eV per atom.

It has space group Fm-3m (No. 225), with a = 7.259 Å, b = 7.259 Å, c = 7.259 Å, α = 90.00°, β = 90.00° and γ = 90.00°. The distinct sites, in fractional coordinates, are Gd at (0.250, 0.250, 0.250), In at (0.000, 0.000, 0.000) and Co at (0.000, 0.000, 0.500).



Compound: GdLuInCo
Source: Alexandria
Functional: PBE
Structure: relaxed

The formation energy is -0.198 eV per atom.

It has space group F-43m (No. 216), with a = 7.151 Å, b = 7.151 Å, c = 7.151 Å, α = 90.00°, β = 90.00° and γ = 90.00°. The distinct sites, in fractional coordinates, are Gd at (0.000, 0.000, 0.000), Lu at (0.000, 0.000, 0.500), In at (0.250, 0.250, 0.250) and Co at (0.250, 0.250, 0.750).



Compound: NdGdInCo
Source: Alexandria
Functional: PBE
Structure: relaxed

The formation energy is -0.143 eV per atom.

It has space group F-43m (No. 216), with a = 7.361 Å, b = 7.361 Å, c = 7.361 Å, α = 90.00°, β = 90.00° and γ = 90.00°. The distinct sites, in fractional coordinates, are Nd at (0.000, 0.000, 0.000), Gd at (0.000, 0.000, 0.500), In at (0.250, 0.250, 0.750) and Co at (0.250, 0.250, 0.250).